No. 1
! RbZr3Ag, relaxed, DFT PBE; values from VASP
&SYSTEM
  ibrav = 0, nat = 5, ntyp = 3
/
ATOMIC_SPECIES
Rb 85.47 Rb.upf
Zr 91.22 Zr.upf
Ag 107.87 Ag.upf
CELL_PARAMETERS angstrom
5.040 0.000 0.000
0.000 5.040 0.000
0.000 0.000 5.040
ATOMIC_POSITIONS crystal
Rb 0.000 0.000 0.000
Zr 0.000 0.000 0.500
Zr 0.000 0.500 0.000
Zr 0.500 0.000 0.000
Ag 0.500 0.500 0.500
! ΔE to the lowest computed polymorph, eV per atom: 0.936
! Theoretical density, g/cm3: 6.1
! Formation energy from the elements, eV/atom: 2.08


No. 2
! RbZrAg3, relaxed, DFT PBE; values from VASP
&SYSTEM
  ibrav = 0, nat = 5, ntyp = 3
/
ATOMIC_SPECIES
Rb 85.47 Rb.upf
Zr 91.22 Zr.upf
Ag 107.87 Ag.upf
CELL_PARAMETERS angstrom
5.439 0.000 0.000
0.000 5.439 0.000
0.000 0.000 5.439
ATOMIC_POSITIONS crystal
Rb 0.000 0.000 0.000
Zr 0.500 0.500 0.500
Ag 0.000 0.000 0.500
Ag 0.000 0.500 0.000
Ag 0.500 0.000 0.000
! ΔE to the lowest computed polymorph, eV per atom: 0.896
! Theoretical density, g/cm3: 5.2
! Formation energy from the elements, eV/atom: 1.56


No. 3
! RbZr2Ag, relaxed, DFT PBE; values from VASP
&SYSTEM
  ibrav = 0, nat = 16, ntyp = 3
/
ATOMIC_SPECIES
Rb 85.47 Rb.upf
Zr 91.22 Zr.upf
Ag 107.87 Ag.upf
CELL_PARAMETERS angstrom
7.225 0.000 0.000
0.000 7.225 0.000
0.000 0.000 7.225
ATOMIC_POSITIONS crystal
Rb 0.000 0.000 0.000
Rb 0.000 0.500 0.500
Rb 0.500 0.000 0.500
Rb 0.500 0.500 0.000
Zr 0.250 0.250 0.250
Zr 0.250 0.250 0.750
Zr 0.250 0.750 0.250
Zr 0.250 0.750 0.750
Zr 0.750 0.250 0.250
Zr 0.750 0.250 0.750
Zr 0.750 0.750 0.250
Zr 0.750 0.750 0.750
Ag 0.000 0.000 0.500
Ag 0.000 0.500 0.000
Ag 0.500 0.000 0.000
Ag 0.500 0.500 0.500
! ΔE to the lowest computed polymorph, eV per atom: 0.000
! Theoretical density, g/cm3: 6.6
! Formation energy from the elements, eV/atom: 1.02


No. 4
! RbZr2Ag2, relaxed, DFT PBE; values from VASP
&SYSTEM
  ibrav = 0, nat = 10, ntyp = 3
/
ATOMIC_SPECIES
Rb 85.47 Rb.upf
Zr 91.22 Zr.upf
Ag 107.87 Ag.upf
CELL_PARAMETERS angstrom
9.138 0.000 0.000
0.000 9.138 0.000
0.000 0.000 2.964
ATOMIC_POSITIONS crystal
Rb 0.000 0.000 0.000
Rb 0.500 0.500 0.000
Zr 0.118 0.382 0.000
Zr 0.382 0.882 0.000
Zr 0.618 0.118 0.000
Zr 0.882 0.618 0.000
Ag 0.172 0.672 0.500
Ag 0.328 0.172 0.500
Ag 0.672 0.828 0.500
Ag 0.828 0.328 0.500
! ΔE to the lowest computed polymorph, eV per atom: 0.000
! Theoretical density, g/cm3: 6.5
! Formation energy from the elements, eV/atom: 0.35


No. 5
! Re4Ag3, relaxed, DFT PBE; values from VASP
&SYSTEM
  ibrav = 0, nat = 14, ntyp = 2
/
ATOMIC_SPECIES
Re 186.21 Re.upf
Ag 107.87 Ag.upf
CELL_PARAMETERS angstrom
2.946 0.000 0.000
0.000 2.946 0.000
0.000 0.000 27.017
ATOMIC_POSITIONS crystal
Re 0.000 0.000 0.078
Re 0.000 0.000 0.368
Re 0.000 0.000 0.632
Re 0.000 0.000 0.922
Re 0.500 0.500 0.132
Re 0.500 0.500 0.422
Re 0.500 0.500 0.578
Re 0.500 0.500 0.868
Ag 0.000 0.000 0.212
Ag 0.000 0.000 0.500
Ag 0.000 0.000 0.788
Ag 0.500 0.500 0.000
Ag 0.500 0.500 0.288
Ag 0.500 0.500 0.712
! Theoretical density, g/cm3: 15.1
! Formation energy from the elements, eV/atom: 0.43


No. 6
! ReAg5, relaxed, DFT PBE; values from VASP
&SYSTEM
  ibrav = 0, nat = 12, ntyp = 2
/
ATOMIC_SPECIES
Re 186.21 Re.upf
Ag 107.87 Ag.upf
CELL_PARAMETERS angstrom
4.817 0.000 0.000
0.000 2.760 0.000
0.000 0.000 15.510
ATOMIC_POSITIONS crystal
Re 0.000 0.000 0.000
Re 0.000 0.500 0.500
Ag 0.000 0.000 0.335
Ag 0.000 0.000 0.663
Ag 0.000 0.500 0.163
Ag 0.000 0.500 0.835
Ag 0.500 0.000 0.226
Ag 0.500 0.000 0.555
Ag 0.500 0.000 0.893
Ag 0.500 0.500 0.055
Ag 0.500 0.500 0.393
Ag 0.500 0.500 0.726
! ΔE to the lowest computed polymorph, eV per atom: 0.009
! Theoretical density, g/cm3: 11.7
! Formation energy from the elements, eV/atom: 0.44


Number 6 is which compound? ReAg5


Among the records above, which one has the lowest theoretical density? RbZrAg3